# ScTaRh2

ScTaRh2 at its PBEsol-relaxed geometry (meta-GGA SCAN, Alexandria via LeMat-Bulk).

Computed properties:
M_tot, Bohr magnetons per cell: 0.0
ΔE_f, eV per atom: -0.432
Final energy, eV per atom: -37.523

Unit cell a=3.0237 b=4.3555 c=5.4602 alpha=99.90 beta=90.00 gamma=110.31
Positions (direct):
Sc1 0.5000 0.0000 0.0000
Rh1 0.7447 0.4894 0.7338
Rh2 0.2553 0.5106 0.2662
Ta1 0.0000 0.0000 0.5000

# ScTaRh

ScTaRh at its PBEsol-relaxed geometry (meta-GGA SCAN, Alexandria via LeMat-Bulk).

Computed properties:
M_tot, Bohr magnetons per cell: 0.0
ΔE_f, eV per atom: 0.212
Final energy, eV per atom: -37.986

Unit cell a=4.3241 b=4.3241 c=4.3241 alpha=60.00 beta=60.00 gamma=60.00
Positions (direct):
Sc1 0.5000 0.5000 0.5000
Ta1 0.7500 0.7500 0.7500
Rh1 0.0000 0.0000 0.0000

# ScTaRh2

ScTaRh2 at its PBEsol-relaxed geometry (meta-GGA SCAN, Alexandria via LeMat-Bulk).

Computed properties:
M_tot, Bohr magnetons per cell: 0.0
ΔE_f, eV per atom: -0.310
Final energy, eV per atom: -37.401

Unit cell a=4.4433 b=4.4433 c=4.4433 alpha=60.00 beta=60.00 gamma=60.00
Positions (direct):
Rh1 0.0000 0.0000 0.0000
Rh2 0.2500 0.2500 0.2500
Sc1 0.5000 0.5000 0.5000
Ta1 0.7500 0.7500 0.7500

# Sc2TeRh

Sc2TeRh at its PBEsol-relaxed geometry (meta-GGA SCAN, Alexandria via LeMat-Bulk).

Computed properties:
M_tot, Bohr magnetons per cell: 0.0
Final energy, eV per atom: -25.670

Unit cell a=4.2793 b=4.2793 c=5.0568 alpha=115.03 beta=115.03 gamma=90.00
Positions (direct):
Te1 0.5000 0.5000 0.0000
Sc1 0.7500 0.2500 0.5000
Sc2 0.2500 0.7500 0.5000
Rh1 0.0000 0.0000 0.0000

# Sc2TeRh

Sc2TeRh at its PBEsol-relaxed geometry (meta-GGA SCAN, Alexandria via LeMat-Bulk).

Computed properties:
M_tot, Bohr magnetons per cell: 0.0
Final energy, eV per atom: -25.687

Unit cell a=3.5541 b=4.6458 c=4.6458 alpha=98.50 beta=90.00 gamma=90.00
Positions (direct):
Te1 0.5000 0.0000 0.0000
Rh1 0.5000 0.5000 0.5000
Sc1 0.0000 0.5000 0.0000
Sc2 0.0000 0.0000 0.5000

# ScTeRh3

ScTeRh3 at its PBEsol-relaxed geometry (meta-GGA SCAN, Alexandria via LeMat-Bulk).

Computed properties:
M_tot, Bohr magnetons per cell: 0.0
Final energy, eV per atom: -30.242

Unit cell a=4.7278 b=4.7278 c=4.7278 alpha=90.00 beta=90.00 gamma=90.00
Positions (direct):
Rh1 0.0000 0.5000 0.0000
Rh2 0.0000 0.0000 0.5000
Rh3 0.5000 0.0000 0.0000
Te1 0.0000 0.0000 0.0000
Sc1 0.5000 0.5000 0.5000

# Sc2TeRh

Sc2TeRh at its PBEsol-relaxed geometry (meta-GGA SCAN, Alexandria via LeMat-Bulk).

Computed properties:
M_tot, Bohr magnetons per cell: 0.0
Final energy, eV per atom: -25.670

Unit cell a=3.5423 b=4.6454 c=4.6454 alpha=90.00 beta=90.00 gamma=90.00
Positions (direct):
Sc1 0.0000 0.0000 0.5000
Sc2 0.0000 0.5000 0.0000
Rh1 0.5000 0.0000 0.0000
Te1 0.5000 0.5000 0.5000

# Sc2TlRh

Sc2TlRh at its PBEsol-relaxed geometry (meta-GGA SCAN, Alexandria via LeMat-Bulk).

Computed properties:
M_tot, Bohr magnetons per cell: 0.0
ΔE_f, eV per atom: -0.801
Final energy, eV per atom: -34.452

Unit cell a=3.2060 b=3.2062 c=7.4979 alpha=90.00 beta=90.00 gamma=90.00
Positions (direct):
Rh1 0.5000 0.5000 0.5000
Sc1 0.0000 0.0000 0.2888
Sc2 0.0000 0.0000 0.7112
Tl1 0.5000 0.5000 0.0000

# ScTl2Rh

ScTl2Rh at its PBEsol-relaxed geometry (meta-GGA SCAN, Alexandria via LeMat-Bulk).

Computed properties:
M_tot, Bohr magnetons per cell: 0.0
ΔE_f, eV per atom: -0.316
Final energy, eV per atom: -48.497

Unit cell a=3.2721 b=3.2721 c=7.8531 alpha=90.00 beta=90.00 gamma=90.00
Positions (direct):
Rh1 0.0000 0.0000 0.5323
Sc1 0.5000 0.5000 0.7003
Tl1 0.0000 0.0000 0.9752
Tl2 0.5000 0.5000 0.2922

# ScRhW

ScRhW at its PBEsol-relaxed geometry (meta-GGA SCAN, Alexandria via LeMat-Bulk).

Computed properties:
M_tot, Bohr magnetons per cell: 0.0
ΔE_f, eV per atom: 0.432
Final energy, eV per atom: -38.800

Unit cell a=4.2725 b=4.2725 c=4.2725 alpha=60.00 beta=60.00 gamma=60.00
Positions (direct):
W1 0.7500 0.7500 0.7500
Sc1 0.5000 0.5000 0.5000
Rh1 0.0000 0.0000 0.0000

# ScRhW2

ScRhW2 at its PBEsol-relaxed geometry (meta-GGA SCAN, Alexandria via LeMat-Bulk).

Computed properties:
M_tot, Bohr magnetons per cell: 0.0
ΔE_f, eV per atom: -0.024
Final energy, eV per atom: -46.871

Unit cell a=2.7599 b=5.1086 c=5.2831 alpha=115.35 beta=99.14 gamma=102.23
Positions (direct):
W1 0.5000 0.5000 0.5000
W2 0.0000 0.0000 0.5000
Sc1 0.5000 0.0000 0.0000
Rh1 0.0000 0.5000 0.0000

# ScRhW2

ScRhW2 at its PBEsol-relaxed geometry (meta-GGA SCAN, Alexandria via LeMat-Bulk).

Computed properties:
M_tot, Bohr magnetons per cell: 0.0
ΔE_f, eV per atom: 0.425
Final energy, eV per atom: -46.422

Unit cell a=4.4470 b=4.4470 c=4.4470 alpha=60.00 beta=60.00 gamma=60.00
Positions (direct):
Rh1 0.0000 0.0000 0.0000
W1 0.7500 0.7500 0.7500
W2 0.2500 0.2500 0.2500
Sc1 0.5000 0.5000 0.5000

# ScRhW2

ScRhW2 at its PBEsol-relaxed geometry (meta-GGA SCAN, Alexandria via LeMat-Bulk).

Computed properties:
M_tot, Bohr magnetons per cell: 0.0
ΔE_f, eV per atom: 0.216
Final energy, eV per atom: -46.630

Unit cell a=2.8515 b=2.8515 c=9.2960 alpha=81.18 beta=81.18 gamma=60.00
Positions (direct):
W1 0.0017 0.0017 0.9950
W2 0.7545 0.7545 0.7364
Sc1 0.2464 0.2464 0.2607
Rh1 0.4974 0.4974 0.5079

# ScRhW

ScRhW at its PBEsol-relaxed geometry (meta-GGA SCAN, Alexandria via LeMat-Bulk).

Computed properties:
M_tot, Bohr magnetons per cell: 0.0
ΔE_f, eV per atom: -0.041
Final energy, eV per atom: -39.273

Unit cell a=2.8060 b=4.4587 c=4.4587 alpha=120.00 beta=90.00 gamma=90.00
Positions (direct):
Rh1 0.0492 0.0000 0.0000
W1 0.2756 0.3333 0.6667
Sc1 0.6752 0.6667 0.3333

# ScRh3W

ScRh3W at its PBEsol-relaxed geometry (meta-GGA SCAN, Alexandria via LeMat-Bulk).

Computed properties:
M_tot, Bohr magnetons per cell: 0.0
ΔE_f, eV per atom: 0.568
Final energy, eV per atom: -36.480

Unit cell a=4.6308 b=4.6308 c=4.6308 alpha=90.00 beta=90.00 gamma=90.00
Positions (direct):
W1 0.0000 0.0000 0.0000
Sc1 0.5000 0.5000 0.5000
Rh1 0.5000 0.0000 0.0000
Rh2 0.0000 0.0000 0.5000
Rh3 0.0000 0.5000 0.0000

# YScRh

YScRh at its PBEsol-relaxed geometry (meta-GGA SCAN, Alexandria via LeMat-Bulk).

Computed properties:
M_tot, Bohr magnetons per cell: 0.0
ΔE_f, eV per atom: 0.038
Final energy, eV per atom: -25.246

Unit cell a=4.4823 b=4.4823 c=4.4823 alpha=60.00 beta=60.00 gamma=60.00
Positions (direct):
Y1 0.0000 0.0000 0.0000
Rh1 0.5000 0.5000 0.5000
Sc1 0.2500 0.2500 0.2500

# Y2ScRh2

Y2ScRh2 at its PBEsol-relaxed geometry (meta-GGA SCAN, Alexandria via LeMat-Bulk).

Computed properties:
M_tot, Bohr magnetons per cell: 0.0
ΔE_f, eV per atom: -0.852
Final energy, eV per atom: -28.345

Unit cell a=4.0365 b=7.1761 c=7.1761 alpha=90.00 beta=90.00 gamma=90.00
Positions (direct):
Y1 0.5000 0.3324 0.1676
Y2 0.5000 0.8324 0.3324
Y3 0.5000 0.6676 0.8324
Y4 0.5000 0.1676 0.6676
Rh1 0.0000 0.3621 0.8621
Rh2 0.0000 0.8621 0.6379
Rh3 0.0000 0.1379 0.3621
Rh4 0.0000 0.6379 0.1379
Sc1 0.0000 0.0000 0.0000
Sc2 0.0000 0.5000 0.5000

# YScRh2

YScRh2 at its PBEsol-relaxed geometry (meta-GGA SCAN, Alexandria via LeMat-Bulk).

Computed properties:
M_tot, Bohr magnetons per cell: 0.0
ΔE_f, eV per atom: -1.020
Final energy, eV per atom: -28.426

Unit cell a=3.3553 b=4.5948 c=4.5948 alpha=90.00 beta=90.00 gamma=90.00
Positions (direct):
Sc1 0.5000 0.0000 0.0000
Rh1 0.0000 0.5000 0.0000
Rh2 0.0000 0.0000 0.5000
Y1 0.5000 0.5000 0.5000

# YScRh2

YScRh2 at its PBEsol-relaxed geometry (meta-GGA SCAN, Alexandria via LeMat-Bulk).

Computed properties:
M_tot, Bohr magnetons per cell: 0.0
ΔE_f, eV per atom: -0.877
Final energy, eV per atom: -28.282

Unit cell a=3.2410 b=4.4967 c=5.2934 alpha=90.00 beta=107.83 gamma=90.00
Positions (direct):
Y1 0.7676 0.5000 0.5353
Sc1 0.4875 0.0000 0.9750
Rh1 0.0327 0.5000 0.0655
Rh2 0.2122 0.0000 0.4243

# ScZnRh

ScZnRh at its PBEsol-relaxed geometry (meta-GGA SCAN, Alexandria via LeMat-Bulk).

Computed properties:
M_tot, Bohr magnetons per cell: 0.0
ΔE_f, eV per atom: -0.080
Final energy, eV per atom: -20.588

Unit cell a=4.2847 b=4.2847 c=4.2847 alpha=60.00 beta=60.00 gamma=60.00
Positions (direct):
Zn1 0.0000 0.0000 0.0000
Sc1 0.2500 0.2500 0.2500
Rh1 0.5000 0.5000 0.5000

# ScZnRh

ScZnRh at its PBEsol-relaxed geometry (meta-GGA SCAN, Alexandria via LeMat-Bulk).

Computed properties:
M_tot, Bohr magnetons per cell: 0.0
ΔE_f, eV per atom: -0.751
Final energy, eV per atom: -21.259

Unit cell a=3.2470 b=3.2470 c=4.9776 alpha=109.04 beta=109.04 gamma=90.00
Positions (direct):
Zn1 0.6561 0.6561 0.3122
Rh1 0.0029 0.0029 0.0059
Sc1 0.3409 0.3409 0.6819

# ScZn2Rh2

ScZn2Rh2 at its PBEsol-relaxed geometry (meta-GGA SCAN, Alexandria via LeMat-Bulk).

Computed properties:
M_tot, Bohr magnetons per cell: 0.0
ΔE_f, eV per atom: -0.642
Final energy, eV per atom: -22.404

Unit cell a=2.9829 b=7.0031 c=7.0031 alpha=90.00 beta=90.00 gamma=90.00
Positions (direct):
Rh1 0.5000 0.6756 0.8244
Rh2 0.5000 0.3244 0.1756
Rh3 0.5000 0.8244 0.3244
Rh4 0.5000 0.1756 0.6756
Zn1 0.0000 0.8777 0.6223
Zn2 0.0000 0.6223 0.1223
Zn3 0.0000 0.3777 0.8777
Zn4 0.0000 0.1223 0.3777
Sc1 0.0000 0.0000 0.0000
Sc2 0.0000 0.5000 0.5000

# ScZn2Rh

ScZn2Rh at its PBEsol-relaxed geometry (meta-GGA SCAN, Alexandria via LeMat-Bulk).

Computed properties:
M_tot, Bohr magnetons per cell: 0.0
ΔE_f, eV per atom: -0.658
Final energy, eV per atom: -19.418

Unit cell a=3.8504 b=3.8504 c=4.8342 alpha=113.47 beta=113.47 gamma=90.00
Positions (direct):
Zn1 0.2500 0.7500 0.5000
Zn2 0.7500 0.2500 0.5000
Rh1 0.0000 0.0000 0.0000
Sc1 0.5000 0.5000 0.0000

# ZrSc2Rh

ZrSc2Rh at its PBEsol-relaxed geometry (meta-GGA SCAN, Alexandria via LeMat-Bulk).

Computed properties:
M_tot, Bohr magnetons per cell: 0.0
ΔE_f, eV per atom: -0.327
Final energy, eV per atom: -23.563

Unit cell a=3.9104 b=3.9104 c=5.6886 alpha=110.10 beta=110.10 gamma=90.00
Positions (direct):
Sc1 0.2500 0.7500 0.5000
Sc2 0.7500 0.2500 0.5000
Rh1 0.0000 0.0000 0.0000
Zr1 0.5000 0.5000 0.0000

# ZrSc2Rh

ZrSc2Rh at its PBEsol-relaxed geometry (meta-GGA SCAN, Alexandria via LeMat-Bulk).

Computed properties:
M_tot, Bohr magnetons per cell: 0.0
ΔE_f, eV per atom: 0.060
Final energy, eV per atom: -23.176

Unit cell a=3.0676 b=3.0676 c=9.9764 alpha=81.16 beta=81.16 gamma=60.00
Positions (direct):
Zr1 0.5000 0.5000 0.5000
Sc1 0.9200 0.9200 0.2398
Sc2 0.0799 0.0799 0.7602
Rh1 0.0000 0.0000 0.0000

# ZrSc2Rh

ZrSc2Rh at its PBEsol-relaxed geometry (meta-GGA SCAN, Alexandria via LeMat-Bulk).

Computed properties:
M_tot, Bohr magnetons per cell: 0.0
ΔE_f, eV per atom: -0.535
Final energy, eV per atom: -23.771

Unit cell a=3.3128 b=4.7480 c=5.7133 alpha=114.55 beta=106.85 gamma=90.00
Positions (direct):
Rh1 0.5000 0.0000 0.0000
Zr1 0.0000 0.5000 0.0000
Sc1 0.2140 0.2140 0.4280
Sc2 0.7860 0.7860 0.5720

# ZrSc2Rh

ZrSc2Rh at its PBEsol-relaxed geometry (meta-GGA SCAN, Alexandria via LeMat-Bulk).

Computed properties:
M_tot, Bohr magnetons per cell: 0.0
ΔE_f, eV per atom: -0.560
Final energy, eV per atom: -23.796

Unit cell a=3.3452 b=4.7966 c=5.6763 alpha=114.99 beta=107.14 gamma=90.00
Positions (direct):
Zr1 0.4629 0.4629 0.9257
Sc1 0.0373 0.0373 0.0746
Sc2 0.2485 0.7485 0.4970
Rh1 0.7513 0.2513 0.5027

# ZrSc2Rh

ZrSc2Rh at its PBEsol-relaxed geometry (meta-GGA SCAN, Alexandria via LeMat-Bulk).

Computed properties:
M_tot, Bohr magnetons per cell: 0.0
ΔE_f, eV per atom: -0.542
Final energy, eV per atom: -23.779

Unit cell a=3.1967 b=3.1967 c=7.5557 alpha=90.00 beta=90.00 gamma=90.00
Positions (direct):
Sc1 0.0000 0.0000 0.7080
Sc2 0.0000 0.0000 0.2920
Zr1 0.5000 0.5000 0.0000
Rh1 0.5000 0.5000 0.5000

# RhSe3

RhSe3 at its PBEsol-relaxed geometry (meta-GGA SCAN, Alexandria via LeMat-Bulk).

Computed properties:
M_tot, Bohr magnetons per cell: 0.0
Final energy, eV per atom: -23.338

Unit cell a=3.4735 b=3.4735 c=7.2842 alpha=90.00 beta=90.00 gamma=120.00
Positions (direct):
Se1 0.3333 0.6667 0.7885
Se2 0.3333 0.6667 0.2115
Se3 0.0000 0.0000 0.5000
Rh1 0.0000 0.0000 0.0000

# Rh2Se

Rh2Se at its PBEsol-relaxed geometry (meta-GGA SCAN, Alexandria via LeMat-Bulk).

Computed properties:
M_tot, Bohr magnetons per cell: 0.0
Final energy, eV per atom: -28.714

Unit cell a=2.8610 b=4.2912 c=4.2912 alpha=120.00 beta=90.00 gamma=90.00
Positions (direct):
Rh1 0.5000 0.6667 0.3333
Rh2 0.5000 0.3333 0.6667
Se1 0.0000 0.0000 0.0000